1.
The following is a SCAN calculation of DySe at its PBEsol-relaxed geometry, from Alexandria via LeMat-Bulk.

Structure (CIF):
```
data_DySe
_cell_length_a 5.673
_cell_length_b 5.673
_cell_length_c 5.673
_cell_angle_alpha 90.00
_cell_angle_beta 90.00
_cell_angle_gamma 90.00
_space_group_name_H-M_alt 'F m -3 m'
_space_group_IT_number 225
_space_group_name_Hall '-F 4 2 3'
loop_
_atom_site_label
_atom_site_type_symbol
_atom_site_fract_x
_atom_site_fract_y
_atom_site_fract_z
Dy1 Dy 0.000 0.000 0.000
Se1 Se 0.000 0.000 0.500
```

Computed properties:
- calculated density (kg/m3) = 8783
- final energy (eV/atom) = -35.872
- DOS at the Fermi energy (states/eV per atom) = 0.44

2.
The following is a SCAN calculation of Dy3Se4 at its PBEsol-relaxed geometry, from Alexandria via LeMat-Bulk.

Structure (CIF):
```
data_Dy3Se4
_cell_length_a 8.534
_cell_length_b 8.534
_cell_length_c 8.534
_cell_angle_alpha 90.00
_cell_angle_beta 90.00
_cell_angle_gamma 90.00
_space_group_name_H-M_alt 'I -4 3 d'
_space_group_IT_number 220
_space_group_name_Hall 'I -4bd 2c 3'
loop_
_atom_site_label
_atom_site_type_symbol
_atom_site_fract_x
_atom_site_fract_y
_atom_site_fract_z
Dy1 Dy 0.000 0.250 0.375
Se1 Se 0.074 0.074 0.074
```

Computed properties:
- calculated density (kg/m3) = 8586
- final energy (eV/atom) = -33.927
- DOS at the Fermi energy (states/eV per atom) = 0.54

3.
The following is a SCAN calculation of Dy2Se3 at its PBEsol-relaxed geometry, from Alexandria via LeMat-Bulk.

Structure (CIF):
```
data_Dy2Se3
_cell_length_a 11.011
_cell_length_b 3.969
_cell_length_c 10.746
_cell_angle_alpha 90.00
_cell_angle_beta 90.00
_cell_angle_gamma 90.00
_space_group_name_H-M_alt 'P n m a'
_space_group_IT_number 62
loop_
_space_group_symop_operation_xyz
'x,y,z'
'-x,-y,-z'
'-x+1/2,-y,z+1/2'
'x+1/2,y,-z+1/2'
'x+1/2,-y+1/2,-z+1/2'
'-x+1/2,y+1/2,z+1/2'
'-x,y+1/2,-z'
'x,-y+1/2,z'
loop_
_atom_site_label
_atom_site_type_symbol
_atom_site_fract_x
_atom_site_fract_y
_atom_site_fract_z
Dy1 Dy 0.014 0.250 0.187
Dy2 Dy 0.195 0.250 0.500
Se1 Se 0.044 0.750 0.376
Se2 Se 0.120 0.250 0.943
Se3 Se 0.227 0.750 0.698
```

Computed properties:
- calculated density (kg/m3) = 7947
- final energy (eV/atom) = -33.256

4.
The following is a SCAN calculation of DyTlSe2 at its PBEsol-relaxed geometry, from Alexandria via LeMat-Bulk.

Structure (CIF):
```
data_DyTlSe2
_cell_length_a 4.0957
_cell_length_b 4.0957
_cell_length_c 22.8328
_cell_angle_alpha 90.00
_cell_angle_beta 90.00
_cell_angle_gamma 120.00
_space_group_name_H-M_alt 'R -3 m'
_space_group_IT_number 166
_space_group_name_Hall '-R 3 2"'
loop_
_atom_site_label
_atom_site_type_symbol
_atom_site_fract_x
_atom_site_fract_y
_atom_site_fract_z
Dy1 Dy 0.0000 0.0000 0.0000
Tl1 Tl 0.0000 0.0000 0.5000
Se1 Se 0.0000 0.0000 0.2639
```

Computed properties:
- calculated density (kg/m3) = 7882
- final energy (eV/atom) = -41.616
- DOS at the Fermi energy (states/eV per atom) = 0.00

| no. | size of the total moment (μB per formula unit) |
| --- | --- |
| 1 | 0.0 |
| 2 | 0.0 |
| 3 | 0.0 |
| 4 | 0.0 |